1.
This record from Alexandria describes an optimized crystal structure of Sc6Sb2PbSe3. The functional is PBE.

Results
Space group ... No. 12

Cell lengths 3.9978, 8.1283, 9.0527 Å; angles 104.07, 102.76, 90.00 degrees
Sites, in units of the cell vectors:
Se 0.8326 0.1690 0.6652
Se 0.5000 0.5000 0.0000
Se 0.1674 0.8310 0.3348
Sc 0.6708 0.0734 0.3415
Sc 0.6654 0.5892 0.3308
Sc 0.3292 0.9266 0.6585
Sc 0.0047 0.7387 0.0093
Sc 0.9953 0.2613 0.9907
Sc 0.3346 0.4108 0.6692
Sb 0.1653 0.3303 0.3306
Sb 0.8347 0.6697 0.6694
Pb 0.5000 0.0000 0.0000

=====

2.
This record from Alexandria describes an optimized crystal structure of Sc2SnSbPb. The functional is PBE.

Results
Space group ... No. 123

Cell lengths 5.3653, 5.8122, 5.3653 Å; angles 90.00, 90.00, 90.00 degrees
Sites, in units of the cell vectors:
Sb 0.0000 0.0000 0.0000
Sc 0.0000 0.0000 0.5000
Sc 0.5000 0.0000 0.0000
Pb 0.0000 0.5000 0.0000
Sn 0.5000 0.5000 0.5000

=====

3.
This record from Alexandria describes an optimized crystal structure of Sc6SbTe3Pb2. The functional is PBE.

Results
Space group ... No. 12

Cell lengths 4.1885, 8.3966, 9.3691 Å; angles 103.05, 102.92, 90.00 degrees
Sites, in units of the cell vectors:
Sc 0.3323 0.4209 0.6647
Sc 0.6677 0.5791 0.3353
Sc 0.0025 0.2439 0.0050
Sc 0.9975 0.7561 0.9950
Sc 0.3359 0.9126 0.6718
Sc 0.6641 0.0874 0.3282
Pb 0.1669 0.3332 0.3338
Pb 0.8331 0.6668 0.6662
Te 0.1663 0.8337 0.3326
Te 0.5000 0.5000 0.0000
Te 0.8337 0.1663 0.6674
Sb 0.5000 0.0000 0.0000

=====

4.
This record from Alexandria describes an optimized crystal structure of ScSbTe2Pb. The functional is PBE.

Results
Space group ... No. 123
Distance to the lowest polymorph of the same formula ... 0.000 eV/atom

Cell lengths 5.5465, 5.5465, 5.5396 Å; angles 90.00, 90.00, 90.00 degrees
Sites, in units of the cell vectors:
Te 0.0000 0.5000 0.0000
Te 0.5000 0.0000 0.0000
Sb 0.0000 0.0000 0.5000
Pb 0.5000 0.5000 0.5000
Sc 0.0000 0.0000 0.0000

=====

5.
This record from Alexandria describes an optimized crystal structure of Sc4SbTe2Pb. The functional is PBE.

Results
Space group ... No. 10

Cell lengths 4.1864, 7.2512, 7.2344 Å; angles 70.58, 90.00, 90.00 degrees
Sites, in units of the cell vectors:
Pb 0.5000 0.5000 0.0000
Sc 0.5000 0.2602 0.7462
Sc 0.5000 0.7398 0.2538
Sc 0.0000 0.2581 0.2478
Sc 0.0000 0.7419 0.7522
Te 0.5000 0.0000 0.5000
Te 0.0000 0.0000 0.0000
Sb 0.0000 0.5000 0.5000

=====

6.
This record from Alexandria describes an optimized crystal structure of Sc6Sb2Te3Pb. The functional is PBE.

Results
Space group ... No. 12

Cell lengths 4.1732, 8.3748, 9.3534 Å; angles 103.22, 102.89, 90.00 degrees
Sites, in units of the cell vectors:
Sb 0.1665 0.3327 0.3329
Sb 0.8335 0.6673 0.6671
Pb 0.5000 0.0000 0.0000
Te 0.5000 0.5000 0.0000
Te 0.8332 0.1675 0.6663
Te 0.1668 0.8325 0.3337
Sc 0.6651 0.0894 0.3301
Sc 0.0020 0.2464 0.0040
Sc 0.9980 0.7536 0.9960
Sc 0.3302 0.4235 0.6603
Sc 0.6698 0.5765 0.3397
Sc 0.3349 0.9106 0.6699

=====

Number 1: formation energy (no corrections) -1160 meV per atom. Number 2: formation energy (no corrections) 217 meV per atom. Number 3: formation energy (no corrections) -862 meV per atom. Number 4: formation energy (no corrections) -179 meV per atom. Number 5: formation energy (no corrections) -914 meV per atom. Number 6: formation energy (no corrections) -959 meV per atom.